# CsTaP2H PBE optimized geometry
data_CsTaP2H
_cell_length_a 5.693
_cell_length_b 5.693
_cell_length_c 5.832
_cell_angle_alpha 90.00
_cell_angle_beta 90.00
_cell_angle_gamma 90.00
_space_group_name_H-M_alt 'P 4/m m m'
_space_group_IT_number 123
_space_group_name_Hall '-P 4 2'
loop_
_atom_site_label
_atom_site_type_symbol
_atom_site_fract_x
_atom_site_fract_y
_atom_site_fract_z
Cs1 Cs 0.000 0.000 0.000
Ta1 Ta 0.000 0.000 0.500
P1 P 0.000 0.500 0.000
H1 H 0.500 0.500 0.500
# Final energy in eV/atom: -2.287
# Crystal system: tetragonal
# Calculated volume in A^3/atom: 37.81